No. 1
PuSc2Mn: relaxed, PBE-GGA.

a = 4.9263 Å, b = 4.9263 Å, c = 4.9306 Å
α = 60.03°, β = 60.03°, γ = 60.00°
Last column: nearest neighbours and their distance in Å.
Sites, in units of the cell vectors:
Pu 0.5000 0.5000 0.5000  8 Sc 3.02
Mn 0.0000 0.0000 0.0000  8 Sc 3.02-3.03
Sc 0.7496 0.7496 0.7513  4 Mn 3.02-3.03, 4 Pu 3.02
Sc 0.2504 0.2504 0.2487  4 Mn 3.02-3.03, 4 Pu 3.02

The energy relative to the elements is 0.19 eV/atom. The calculation puts the excess energy over the best structure of this formula in the dataset at 32.1 kJ/mol of formula units. The calculation puts the raw total energy at -35.42 eV for the cell shown. The crystal system is cubic. The density is 7.6 Mg/m³. For the density of states at the Fermi level, the calculation gives 9.121 states/eV/cell.



No. 2
PuScMn2: relaxed, PBE-GGA.

a = 3.3111 Å, b = 3.3111 Å, c = 6.3965 Å
α = 90.00°, β = 90.00°, γ = 90.00°
Last column: nearest neighbours and their distance in Å.
Sites, in units of the cell vectors:
Mn 0.0000 0.0000 0.7742  4 Pu 2.75, 1 Mn 2.89, 4 Sc 2.93
Pu 0.5000 0.5000 0.0000  8 Mn 2.75
Sc 0.5000 0.5000 0.5000  8 Mn 2.93, 2 Pu 3.20
Mn 0.0000 0.0000 0.2258  4 Pu 2.75, 1 Mn 2.89, 4 Sc 2.93

The energy relative to the elements is 0.03 eV/atom. The calculation puts the raw total energy at -38.90 eV for the cell shown. The crystal system is tetragonal. The density is 9.4 Mg/m³. For the density of states at the Fermi level, the calculation gives 6.646 states/eV/cell.



Number 2 is which compound? PuScMn2



Number 2 is which compound? PuScMn2